(1)
Density functional theory data (GGA-PBE) for a geometry-optimized MnPdS2N structure.

Output
uncorrected formation energy: 0.3479 eV per atom
space group: P4/mmm

```
MnPdS2N
1.0
4.6478 0.0000 0.0000
0.0000 4.6478 0.0000
0.0000 0.0000 3.4250
Mn Pd S N
1 1 2 1
Direct
0.0000 0.0000 0.0000
0.5000 0.5000 0.5000
0.0000 0.5000 0.0000
0.5000 0.0000 0.0000
0.0000 0.0000 0.5000
```



(2)
Density functional theory data (GGA-PBE) for a geometry-optimized Ta2MnPdN structure.

Output
uncorrected formation energy: -0.4863 eV per atom
space group: P4/mmm

```
Ta2MnPdN
1.0
4.2464 0.0000 0.0000
0.0000 4.2464 0.0000
0.0000 0.0000 3.8531
Ta Mn Pd N
2 1 1 1
Direct
0.0000 0.5000 0.0000
0.5000 0.0000 0.0000
0.0000 0.0000 0.5000
0.5000 0.5000 0.5000
0.0000 0.0000 0.0000
```



(3)
Density functional theory data (GGA-PBE) for a geometry-optimized Ta2MnPdN structure.

Output
uncorrected formation energy: -0.1044 eV per atom
space group: P4/mmm

```
Ta2MnPdN
1.0
4.1734 0.0000 0.0000
0.0000 4.1734 0.0000
0.0000 0.0000 4.0793
Ta Mn Pd N
2 1 1 1
Direct
0.0000 0.5000 0.0000
0.5000 0.0000 0.0000
0.0000 0.0000 0.5000
0.5000 0.5000 0.5000
0.5000 0.5000 0.0000
```



(4)
Density functional theory data (GGA-PBE) for a geometry-optimized MnTc2PdN structure.

Output
uncorrected formation energy: 0.0161 eV per atom
space group: P4/mmm

```
MnTc2PdN
1.0
4.0281 0.0000 0.0000
0.0000 4.0281 0.0000
0.0000 0.0000 3.8379
Mn Tc Pd N
1 2 1 1
Direct
0.0000 0.0000 0.0000
0.0000 0.5000 0.5000
0.5000 0.0000 0.5000
0.5000 0.5000 0.0000
0.0000 0.0000 0.5000
```



(5)
Density functional theory data (GGA-PBE) for a geometry-optimized Mn2TcPdN structure.

Output
uncorrected formation energy: -0.0163 eV per atom
space group: P4/mmm

```
Mn2TcPdN
1.0
3.8281 0.0000 0.0000
0.0000 3.8281 0.0000
0.0000 0.0000 3.9822
Mn Tc Pd N
2 1 1 1
Direct
0.0000 0.5000 0.0000
0.5000 0.0000 0.0000
0.0000 0.0000 0.5000
0.5000 0.5000 0.5000
0.0000 0.0000 0.0000
```



(6)
Density functional theory data (GGA-PBE) for a geometry-optimized MnTePdN2 structure.

Output
uncorrected formation energy: 1.7969 eV per atom
space group: P4/mmm

```
MnTePdN2
1.0
3.7740 0.0000 0.0000
0.0000 3.7740 0.0000
0.0000 0.0000 7.0733
Mn Te Pd N
1 1 1 2
Direct
0.0000 0.0000 0.0000
0.5000 0.5000 0.0000
0.5000 0.5000 0.5000
0.0000 0.5000 0.5000
0.5000 0.0000 0.5000
```



(7)
Density functional theory data (GGA-PBE) for a geometry-optimized MnTePdN2 structure.

Output
uncorrected formation energy: 0.6097 eV per atom
space group: P4/mmm

```
MnTePdN2
1.0
3.6621 0.0000 0.0000
0.0000 3.6621 0.0000
0.0000 0.0000 5.6993
Mn Te Pd N
1 1 1 2
Direct
0.0000 0.0000 0.0000
0.0000 0.0000 0.5000
0.5000 0.5000 0.5000
0.0000 0.5000 0.0000
0.5000 0.0000 0.0000
```



(8)
Density functional theory data (GGA-PBE) for a geometry-optimized Ti2MnPdN structure.

Output
uncorrected formation energy: -0.8153 eV per atom
space group: P4/mmm

```
Ti2MnPdN
1.0
4.1344 0.0000 0.0000
0.0000 4.1344 0.0000
0.0000 0.0000 3.8149
Ti Mn Pd N
2 1 1 1
Direct
0.0000 0.5000 0.0000
0.5000 0.0000 0.0000
0.0000 0.0000 0.5000
0.5000 0.5000 0.5000
0.0000 0.0000 0.0000
```



(9)
Density functional theory data (GGA-PBE) for a geometry-optimized MnV2PdN structure.

Output
uncorrected formation energy: -0.4667 eV per atom
space group: P4/mmm

```
MnV2PdN
1.0
3.9399 0.0000 0.0000
0.0000 3.9399 0.0000
0.0000 0.0000 3.7790
Mn V Pd N
1 2 1 1
Direct
0.0000 0.0000 0.0000
0.0000 0.5000 0.5000
0.5000 0.0000 0.5000
0.5000 0.5000 0.0000
0.0000 0.0000 0.5000
```



(10)
Density functional theory data (GGA-PBE) for a geometry-optimized Mn2PdWN structure.

Output
uncorrected formation energy: -0.1286 eV per atom
space group: P4/mmm

```
Mn2PdWN
1.0
3.9837 0.0000 0.0000
0.0000 3.9837 0.0000
0.0000 0.0000 4.0297
Mn Pd W N
2 1 1 1
Direct
0.0000 0.5000 0.0000
0.5000 0.0000 0.0000
0.0000 0.0000 0.5000
0.5000 0.5000 0.5000
0.5000 0.5000 0.0000
```



(11)
Density functional theory data (GGA-PBE) for a geometry-optimized YMnPd2N structure.

Output
uncorrected formation energy: -0.0918 eV per atom
space group: P4/mmm

```
YMnPd2N
1.0
4.9290 0.0000 0.0000
0.0000 4.9290 0.0000
0.0000 0.0000 3.5776
Y Mn Pd N
1 1 2 1
Direct
0.0000 0.0000 0.0000
0.5000 0.5000 0.5000
0.0000 0.5000 0.5000
0.5000 0.0000 0.5000
0.5000 0.5000 0.0000
```



(12)
Density functional theory data (GGA-PBE) for a geometry-optimized Zr2MnPdN structure.

Output
uncorrected formation energy: -0.8150 eV per atom
space group: P4/mmm

```
Zr2MnPdN
1.0
4.5710 0.0000 0.0000
0.0000 4.5710 0.0000
0.0000 0.0000 3.6596
Zr Mn Pd N
2 1 1 1
Direct
0.0000 0.5000 0.0000
0.5000 0.0000 0.0000
0.0000 0.0000 0.5000
0.5000 0.5000 0.5000
0.0000 0.0000 0.0000
```